Here is a relaxed structure of NdDySe2Cl from Alexandria. Energies are from PBE.

Cell lengths 4.172, 4.172, 14.112 Å; angles 90.00, 90.00, 90.00 degrees
Element x y z (fractional)
Nd 0.250 0.250 0.146
Nd 0.750 0.750 0.854
Dy 0.250 0.250 0.590
Dy 0.750 0.750 0.410
Se 0.250 0.250 0.383
Se 0.250 0.250 0.794
Se 0.750 0.750 0.206
Se 0.750 0.750 0.617
Cl 0.250 0.750 0.000
Cl 0.750 0.250 0.000

Properties
Formation energy from raw total energies: -1.877 eV per atom
Space group: No. 129